A relaxed structure of BaSr2Zn2, computed with PBE-GGA.

Summary:
**Crystal system**: tetragonal
**ΔH_f (0 K)**: 4.8 kJ/mol of atoms
**Total moment**: 0.000 μB per atom

CIF file:
```
data_BaSr2Zn2
_cell_length_a 5.917
_cell_length_b 5.917
_cell_length_c 11.897
_cell_angle_alpha 90.00
_cell_angle_beta 90.00
_cell_angle_gamma 90.00
_space_group_name_H-M_alt 'I 4/m m m'
_space_group_IT_number 139
_space_group_name_Hall '-I 4 2'
loop_
_atom_site_label
_atom_site_type_symbol
_atom_site_fract_x
_atom_site_fract_y
_atom_site_fract_z
Ba1 Ba 0.000 0.000 0.000
Sr1 Sr 0.000 0.000 0.341
Zn1 Zn 0.000 0.500 0.250
```